Record 1
## ErTmTeAs (PBE)

Data for crystalline ErTmTeAs at its relaxed geometry.

Properties
E_form (uncorrected) ... -1408 meV per atom
Size of the total moment ... 0.00 Bohr magnetons per cell

Cell and atoms, written as extended XYZ:
```
4
Lattice="2.049 1.183 7.227 -2.049 1.183 7.227 0.000 -2.366 7.227" Properties=species:S:1:pos:R:3 pbc="T T T"
Er 0.000 0.000 0.000
Tm 0.000 0.000 17.565
Te 0.000 0.000 12.402
As 0.000 0.000 8.745
```

=====

Record 2
## Er8ZnTe4As3 (PBE)

Data for crystalline Er8ZnTe4As3 at its relaxed geometry.

Properties
E_form (uncorrected) ... -1267 meV per atom
Size of the total moment ... 0.00 Bohr magnetons per cell

Cell and atoms, written as extended XYZ:
```
16
Lattice="4.179 2.413 6.986 -4.179 2.413 6.986 0.000 -4.826 6.986" Properties=species:S:1:pos:R:3 pbc="T T T"
Er 0.000 0.000 5.007
Er -2.067 -1.194 12.022
Er 0.000 -2.387 8.937
Er -2.067 1.194 8.937
Er 2.067 -1.194 12.022
Er 0.000 2.387 12.022
Er 2.067 1.194 8.937
Er 0.000 0.000 15.951
Zn 0.000 0.000 10.479
Te 0.000 0.000 0.000
Te -2.090 -1.206 6.986
Te -2.090 1.206 13.972
Te 0.000 2.413 6.986
As -4.179 0.000 10.479
As -2.090 1.206 3.493
As 2.090 1.206 3.493
```

=====

Record 3
## ErTh3As4 (PBE)

Data for crystalline ErTh3As4 at its relaxed geometry.

Properties
E_form ... -1421.8 meV per atom
Size of the total moment ... 0.00 Bohr magnetons per cell

Cell and atoms, written as extended XYZ:
```
16
Lattice="7.298 0.000 0.000 0.000 8.411 0.000 -2.416 0.000 6.897" Properties=species:S:1:pos:R:3 pbc="T T T"
Er -0.604 1.042 1.724
Er -1.812 7.370 5.172
Th -1.812 3.145 5.172
Th -0.604 5.266 1.724
Th 1.837 1.047 5.172
Th 3.045 3.147 1.724
Th 1.837 5.264 5.172
Th 3.045 7.364 1.724
As 1.769 1.016 0.003
As 0.561 7.395 3.451
As 0.599 3.118 3.417
As -0.609 5.294 6.865
As 5.491 3.118 0.032
As 4.283 5.294 3.480
As 4.321 1.016 3.445
As 3.113 7.395 6.893
```

=====

Question: size of the total moment of number 1 (ErTmTeAs)?
Answer: 0.00 Bohr magnetons per cell

=====

Question: What is the size of the total moment in the third record?
Answer: 0.00 Bohr magnetons per cell